Run w
Below is a relaxed structure of CsLiY3, with properties calculated at the PBE level.

Cell: 5.7230 5.7230 5.7230 Å, 90.00 90.00 90.00°
Space group Pm-3m (No. 221)
Symmetry-distinct sites (fractional):
Cs1 0.0000 0.0000 0.0000
Li1 0.5000 0.5000 0.5000
Y1 0.0000 0.5000 0.5000

Run x
Below is a relaxed structure of CsLiY3, with properties calculated at the PBE level.

Cell: 5.7265 5.7265 5.7265 Å, 90.00 90.00 90.00°
Space group Pm-3m (No. 221)
Symmetry-distinct sites (fractional):
Cs1 0.0000 0.0000 0.0000
Li1 0.5000 0.5000 0.5000
Y1 0.0000 0.0000 0.5000

Quick one: least stable of them? run x

Run w
Below is a relaxed structure of Cs2LiZn, with properties calculated at the PBE level.

Cell: 9.6214 9.6214 9.6214 Å, 90.00 90.00 90.00°
Space group Fm-3m (No. 225)
Symmetry-distinct sites (fractional):
Cs1 0.2500 0.2500 0.2500
Li1 0.0000 0.0000 0.0000
Zn1 0.0000 0.0000 0.5000

Run x
Below is a relaxed structure of Cs2LiZn, with properties calculated at the PBE level.

Cell: 10.6776 10.6776 8.0636 Å, 90.00 90.00 90.00°
Space group I-42d (No. 122)
Symmetry-distinct sites (fractional):
Cs1 0.2197 0.2500 0.1250
Li1 0.0000 0.0000 0.5000
Zn1 0.0000 0.0000 0.0000

Quick one: least stable of them? run x

Run w
Below is a relaxed structure of CsLi2Zn2, with properties calculated at the PBE level.

Cell: 4.9330 4.9330 11.8374 Å, 90.00 90.00 90.00°
Space group I4/mmm (No. 139)
Symmetry-distinct sites (fractional):
Cs1 0.0000 0.0000 0.0000
Li1 0.0000 0.5000 0.2500
Zn1 0.0000 0.0000 0.3811

Run x
Below is a relaxed structure of CsLi2Zn2, with properties calculated at the PBE level.

Cell: 8.5916 8.5916 3.5159 Å, 90.00 90.00 90.00°
Space group P4/mbm (No. 127)
Symmetry-distinct sites (fractional):
Cs1 0.0000 0.0000 0.0000
Li1 0.1449 0.3551 0.0000
Zn1 0.1082 0.6082 0.5000

Quick one: least stable of them? run w